[1]
Crystalline RbSi2Te at its relaxed geometry. Source: Alexandria, functional GGA-PBE.

Properties
Final energy (eV/cell): -25.75

```
RbSi2Te
1.0
-4.2023 4.2023 3.5731
4.2023 -4.2023 3.5731
4.2023 4.2023 -3.5731
Rb Si Te
2 4 2
Direct
0.0000 0.0000 0.0000 Rb
0.7500 0.2500 0.5000 Rb
0.1947 0.6250 0.0697 Si
0.3750 0.4447 0.5697 Si
0.5553 0.1250 0.9303 Si
0.8750 0.8053 0.4303 Si
0.2500 0.7500 0.5000 Te
0.5000 0.5000 0.0000 Te
```

---

[2]
Crystalline RbTiSi2Te8 at its relaxed geometry. Source: Alexandria, functional GGA-PBE.

Properties
Final energy (eV/cell): -47.65

```
RbTiSi2Te8
1.0
3.5149 2.0293 9.0270
-3.5149 2.0293 9.0270
0.0000 -4.0586 9.0270
Rb Ti Si Te
1 1 2 8
Direct
0.0000 0.0000 0.0000 Rb
0.5000 0.5000 0.5000 Ti
0.2502 0.2502 0.2502 Si
0.7498 0.7498 0.7498 Si
0.1183 0.7986 0.4306 Te
0.2014 0.5694 0.8817 Te
0.3429 0.3429 0.3429 Te
0.4306 0.1183 0.7986 Te
0.5694 0.8817 0.2014 Te
0.6571 0.6571 0.6571 Te
0.7986 0.4306 0.1183 Te
0.8817 0.2014 0.5694 Te
```

---

[3]
Crystalline RbTlSiTe3 at its relaxed geometry. Source: Alexandria, functional GGA-PBE.

Properties
Final energy (eV/cell): -40.42

```
RbTlSiTe3
1.0
6.0035 -4.4243 0.0000
6.0035 4.4243 0.0000
-4.7720 0.0000 8.7940
Rb Tl Si Te
2 2 2 6
Direct
0.1743 0.1743 0.2223 Rb
0.8257 0.8257 0.7777 Rb
0.1950 0.8050 0.5000 Tl
0.8050 0.1950 0.5000 Tl
0.4970 0.4970 0.8788 Si
0.5030 0.5030 0.1212 Si
0.1591 0.6317 0.1488 Te
0.2792 0.2792 0.6449 Te
0.3683 0.8409 0.8512 Te
0.6317 0.1591 0.1488 Te
0.7208 0.7208 0.3551 Te
0.8409 0.3683 0.8512 Te
```